(1)
Density functional theory data (PBE) for a geometry-optimized Ga5Pd12Pt2 structure.

The structure belongs to space group C2/m (No. 12); the cell edges are 14.261, 5.525 and 8.226 Å and the angles 90.00°, 101.54° and 90.00°. The distinct sites, in fractional coordinates, are Ga at (0.000, 0.000, 0.000), Ga at (0.133, 0.500, 0.375), Ga at (0.207, 0.500, 0.887), Pd at (0.027, 0.500, 0.825), Pd at (0.081, 0.000, 0.778), Pd at (0.144, 0.253, 0.105), Pd at (0.201, 0.247, 0.626) and Pt at (0.000, 0.251, 0.500).

As for the energy: -5.024 eV/atom. The calculation puts the magnetic moment at 0.00 μB per cell.

(2)
Density functional theory data (PBE) for a geometry-optimized PrNd2TmSb4 structure.

The structure belongs to space group P2/m (No. 10); the cell edges are 7.771, 4.492 and 7.774 Å and the angles 90.00°, 109.50° and 90.00°. The distinct sites, in fractional coordinates, are Pr at (0.000, 0.000, 0.000), Nd at (0.000, 0.500, 0.500), Nd at (0.500, 0.000, 0.500), Tm at (0.500, 0.500, 0.000), Sb at (0.256, 0.500, 0.247) and Sb at (0.259, 0.000, 0.758).

As for the energy: -5.558 eV/atom. The calculation puts the magnetic moment at 0.00 μB per cell.

(3)
Density functional theory data (PBE) for a geometry-optimized Tl2InRu structure.

The structure belongs to space group P4/mmm (No. 123); the cell edges are 3.244, 3.244 and 8.913 Å and the angles 90.00°, 90.00° and 90.00°. The distinct sites, in fractional coordinates, are Tl at (0.000, 0.000, 0.197), In at (0.500, 0.500, 0.500) and Ru at (0.500, 0.500, 0.000).

The calculation puts the magnetic moment at 0.00 μB per cell. Its energy above the most stable polymorph in this dataset is 212 meV/atom.